Below is a geometry-optimized RbAgBiI5 structure, with properties calculated at the PBE-GGA level.

extended XYZ file:
```
16
Lattice="-7.4025 -0.1246 4.4371 -1.5228 -3.1174 -7.9034 6.0323 -8.4682 4.9278" Properties=species:S:1:pos:R:3 pbc="T T T"
I -2.7802 -3.7420 4.3019
I -3.8480 -5.7819 0.6254
Rb -2.1205 -4.1626 -2.2517
I -0.5215 -4.9765 -5.6079
I 0.9550 -5.9282 0.8361
I -0.0489 -10.4146 1.4458
I 3.7331 -9.7562 -0.5744
Ag 1.1792 -8.5411 -0.3832
Rb -0.7725 -7.5476 3.7132
Bi 0.0000 0.0000 0.0000
I -2.3715 -6.7337 7.0694
Ag -4.0723 -3.1691 1.8447
I -6.6262 -1.9540 2.0359
I -0.1128 -7.9682 -2.8404
I -2.8442 -1.2956 0.0157
Bi 3.0161 -4.2341 2.4639
```

Total moment in μB/f.u.: 0.00
Space-group type: C2/c
E_form (uncorrected) in kJ/mol of atoms: -63